# 1
Ti3CoMo | PBE-GGA | optimized geometry

Unit cell a=4.6379 b=4.6379 c=4.6379 alpha=90.00 beta=90.00 gamma=90.00
Space group Pm-3m (No. 221)
Inequivalent atoms, fractional coordinates:
Ti: 0.0000 0.0000 0.5000 [3 per cell]
Co: 0.5000 0.5000 0.5000 [1 per cell]
Mo: 0.0000 0.0000 0.0000 [1 per cell]

Summary:
- DOS(E_F): 13.10 states/eV/cell
- Calculated formation energy: 1152 meV/atom

---

# 2
UTiCoMo | PBE-GGA | optimized geometry

Unit cell a=6.3991 b=6.3991 c=6.3991 alpha=90.00 beta=90.00 gamma=90.00
Space group F-43m (No. 216)
Inequivalent atoms, fractional coordinates:
U: 0.0000 0.0000 0.0000 [4 per cell]
Ti: 0.0000 0.0000 0.5000 [4 per cell]
Co: 0.2500 0.2500 0.7500 [4 per cell]
Mo: 0.2500 0.2500 0.2500 [4 per cell]

Summary:
- DOS(E_F): 29.86 states/eV/cell
- Calculated formation energy: 6 meV/atom

---

# 3
TiVCoMo | PBE-GGA | optimized geometry

Unit cell a=6.0348 b=6.0348 c=6.0348 alpha=90.00 beta=90.00 gamma=90.00
Space group F-43m (No. 216)
Inequivalent atoms, fractional coordinates:
Ti: 0.0000 0.0000 0.0000 [4 per cell]
V: 0.0000 0.0000 0.5000 [4 per cell]
Co: 0.2500 0.2500 0.7500 [4 per cell]
Mo: 0.2500 0.2500 0.2500 [4 per cell]

Summary:
- DOS(E_F): 10.74 states/eV/cell
- Calculated formation energy: -201 meV/atom

---

# 4
TiVCoMo2 | PBE-GGA | optimized geometry

Unit cell a=4.4990 b=4.4990 c=4.2834 alpha=90.00 beta=90.00 gamma=90.00
Space group P4/mmm (No. 123)
Inequivalent atoms, fractional coordinates:
Ti: 0.0000 0.0000 0.0000 [1 per cell]
V: 0.0000 0.0000 0.5000 [1 per cell]
Co: 0.5000 0.5000 0.5000 [1 per cell]
Mo: 0.0000 0.5000 0.0000 [2 per cell]

Summary:
- DOS(E_F): 10.49 states/eV/cell
- Calculated formation energy: 1667 meV/atom